The following is a PBE-GGA calculation of a geometry-optimized P3IrI structure, from Alexandria.

Cell lengths 4.719, 4.719, 4.719 Å; angles 90.00, 90.00, 90.00 degrees
Element x y z (fractional)
P 0.000 0.000 0.500
P 0.000 0.500 0.000
P 0.500 0.000 0.000
Ir 0.000 0.000 0.000
I 0.500 0.500 0.500

Computed properties:
The uncorrected formation energy is 0.708 eV per atom. Its distance to the lowest polymorph of the same formula is 0.0 meV/atom. Its symmetry is No. 221.


The following is a PBE-GGA calculation of a geometry-optimized NbTlMoCl2 structure, from Alexandria.

Cell lengths 4.723, 4.723, 6.016 Å; angles 90.00, 90.00, 90.00 degrees
Element x y z (fractional)
Nb 0.000 0.000 0.000
Tl 0.000 0.000 0.500
Mo 0.500 0.500 0.500
Cl 0.000 0.500 0.000
Cl 0.500 0.000 0.000

Computed properties:
The uncorrected formation energy is 0.674 eV per atom. Its symmetry is No. 123.


The following is a PBE-GGA calculation of a geometry-optimized KTcSb2 structure, from Alexandria.

Cell lengths 6.717, 9.192, 3.200 Å; angles 90.00, 91.93, 90.00 degrees
Element x y z (fractional)
K 0.000 0.000 0.000
K 0.500 0.500 0.000
Tc 0.000 0.500 0.000
Tc 0.500 0.000 0.000
Sb 0.250 0.250 0.500
Sb 0.250 0.750 0.500
Sb 0.750 0.250 0.500
Sb 0.750 0.750 0.500

Computed properties:
The uncorrected formation energy is 0.627 eV per atom. Its distance to the lowest polymorph of the same formula is 772.8 meV/atom. Its symmetry is No. 12.


The following is a PBE-GGA calculation of a geometry-optimized Ag2IrSe structure, from Alexandria.

Cell lengths 3.050, 4.620, 9.769 Å; angles 90.00, 90.00, 90.00 degrees
Element x y z (fractional)
Ag 0.000 0.000 0.249
Ag 0.000 0.000 0.751
Ag 0.500 0.500 0.251
Ag 0.500 0.500 0.749
Ir 0.000 0.500 0.000
Ir 0.500 0.000 0.500
Se 0.000 0.500 0.500
Se 0.500 0.000 0.000

Computed properties:
The uncorrected formation energy is 0.407 eV per atom. Its symmetry is No. 71.


The following is a PBE-GGA calculation of a geometry-optimized SmTm2AlC structure, from Alexandria.

Cell lengths 4.809, 4.809, 5.019 Å; angles 90.00, 90.00, 90.00 degrees
Element x y z (fractional)
Sm 0.000 0.000 0.000
Tm 0.000 0.500 0.500
Tm 0.500 0.000 0.500
Al 0.500 0.500 0.000
C 0.000 0.000 0.500

Computed properties:
As for the formation enthalpy at 0 K: -376 meV per atom. Its symmetry is No. 123.


The following is a PBE-GGA calculation of a geometry-optimized Tm3ScRu2 structure, from Alexandria.

Cell lengths 8.103, 8.103, 8.103 Å; angles 132.49, 71.75, 129.62 degrees
Element x y z (fractional)
Tm 0.018 0.750 0.268
Tm 0.250 0.250 0.000
Tm 0.482 0.750 0.732
Tm 0.518 0.250 0.268
Tm 0.750 0.750 0.000
Tm 0.982 0.250 0.732
Sc 0.000 0.500 0.500
Sc 0.500 0.000 0.500
Ru 0.132 0.226 0.358
Ru 0.368 0.726 0.093
Ru 0.632 0.274 0.907
Ru 0.868 0.774 0.642

Computed properties:
As for the formation enthalpy at 0 K: -288 meV per atom. Its distance to the lowest polymorph of the same formula is 125.8 meV/atom. Its symmetry is No. 72.


The following is a PBE-GGA calculation of a geometry-optimized NaY2InBr structure, from Alexandria.

Cell lengths 6.262, 6.262, 5.784 Å; angles 90.00, 90.00, 90.00 degrees
Element x y z (fractional)
Na 0.000 0.000 0.000
Y 0.000 0.500 0.500
Y 0.500 0.000 0.500
In 0.000 0.000 0.500
Br 0.500 0.500 0.000

Computed properties:
The uncorrected formation energy is 0.161 eV per atom. Its symmetry is No. 123.


The following is a PBE-GGA calculation of a geometry-optimized MnFeCu2 structure, from Alexandria.

Cell lengths 4.960, 8.348, 2.486 Å; angles 90.00, 108.85, 90.00 degrees
Element x y z (fractional)
Mn 0.000 0.000 0.000
Mn 0.500 0.500 0.000
Fe 0.000 0.500 0.000
Fe 0.500 0.000 0.000
Cu 0.250 0.250 0.500
Cu 0.250 0.750 0.500
Cu 0.750 0.250 0.500
Cu 0.750 0.750 0.500

Computed properties:
As for the formation enthalpy at 0 K: 220 meV per atom. Its symmetry is No. 12.


The following is a PBE-GGA calculation of a geometry-optimized ZnSi4Rh structure, from Alexandria.

Cell lengths 5.014, 5.014, 5.014 Å; angles 60.00, 60.00, 60.00 degrees
Element x y z (fractional)
Zn 0.000 0.000 0.000
Si 0.124 0.625 0.625
Si 0.625 0.124 0.625
Si 0.625 0.625 0.124
Si 0.625 0.625 0.625
Rh 0.250 0.250 0.250

Computed properties:
The uncorrected formation energy is 0.391 eV per atom. Its symmetry is No. 216.


The following is a PBE-GGA calculation of a geometry-optimized CsIn2GaCo structure, from Alexandria.

Cell lengths 5.157, 5.157, 4.860 Å; angles 90.00, 90.00, 90.00 degrees
Element x y z (fractional)
Cs 0.000 0.000 0.000
In 0.000 0.500 0.500
In 0.500 0.000 0.500
Ga 0.500 0.500 0.000
Co 0.500 0.500 0.500

Computed properties:
As for the formation enthalpy at 0 K: 16 meV per atom. Its symmetry is No. 123.


The following is a PBE-GGA calculation of a geometry-optimized Mg8Al3Tl3 structure, from Alexandria.

Cell lengths 9.459, 9.459, 4.576 Å; angles 103.27, 103.27, 64.78 degrees
Element x y z (fractional)
Mg 0.137 0.662 0.899
Mg 0.141 0.452 0.300
Mg 0.338 0.863 0.101
Mg 0.452 0.141 0.300
Mg 0.548 0.859 0.700
Mg 0.662 0.137 0.899
Mg 0.859 0.548 0.700
Mg 0.863 0.338 0.101
Al 0.000 0.000 0.000
Al 0.148 0.852 0.500
Al 0.852 0.148 0.500
Tl 0.189 0.189 0.695
Tl 0.500 0.500 0.000
Tl 0.811 0.811 0.305

Computed properties:
As for the formation enthalpy at 0 K: 158 meV per atom. Its symmetry is No. 12.


The following is a PBE-GGA calculation of a geometry-optimized SrAgO2 structure, from Alexandria.

Cell lengths 3.540, 3.540, 4.906 Å; angles 90.00, 90.00, 90.00 degrees
Element x y z (fractional)
Sr 0.000 0.000 0.000
Ag 0.500 0.500 0.500
O 0.000 0.000 0.500
O 0.500 0.500 0.000

Computed properties:
The uncorrected formation energy is -1.352 eV per atom. Its symmetry is No. 123.


The following is a PBE-GGA calculation of a geometry-optimized TaPt2Au structure, from Alexandria.

Cell lengths 4.078, 4.078, 4.004 Å; angles 90.00, 90.00, 90.00 degrees
Element x y z (fractional)
Ta 0.000 0.000 0.000
Pt 0.000 0.500 0.500
Pt 0.500 0.000 0.500
Au 0.500 0.500 0.000

Computed properties:
As for the formation enthalpy at 0 K: -175 meV per atom. Its distance to the lowest polymorph of the same formula is 300.6 meV/atom. Its symmetry is No. 123.


The following is a PBE-GGA calculation of a geometry-optimized LiZrOsO6 structure, from Alexandria.

Cell lengths 4.835, 4.835, 9.315 Å; angles 90.00, 90.00, 90.00 degrees
Element x y z (fractional)
Li 0.000 0.000 0.000
Li 0.500 0.500 0.500
Zr 0.000 0.000 0.662
Zr 0.500 0.500 0.162
Os 0.000 0.000 0.327
Os 0.500 0.500 0.827
O 0.188 0.188 0.478
O 0.196 0.196 0.181
O 0.225 0.225 0.818
O 0.275 0.725 0.318
O 0.304 0.696 0.681
O 0.312 0.688 0.978
O 0.688 0.312 0.978
O 0.696 0.304 0.681
O 0.725 0.275 0.318
O 0.775 0.775 0.818
O 0.804 0.804 0.181
O 0.812 0.812 0.478

Computed properties:
The uncorrected formation energy is -1.851 eV per atom. Its symmetry is No. 102.


Table of E_tot (eV/atom), in record order: -4.620; -4.719; -4.300; -4.105; -5.701; -6.671; -3.571; -6.236; -4.662; -3.277; -2.062; -4.965; -6.978; -7.566